Here is an optimized crystal structure of Li2Sn4Pt from Alexandria. Energies are from PBE.

a b c (Å): 5.2821 5.2821 7.7681
angles (deg): 70.12 70.12 90.00
With the nearest neighbours (Å) after each atom.
Positions (direct):
1 Sn 0.1995 0.1995 0.6010  1 Li 2.64, 1 Pt 2.72
2 Sn 0.8005 0.8005 0.3990  1 Li 2.64, 1 Pt 2.72
3 Sn 0.0000 0.5000 0.0000  2 Pt 2.64
4 Sn 0.5000 0.0000 0.0000  2 Pt 2.64
5 Pt 0.0000 0.0000 0.0000  6 Sn 2.64-2.72
6 Li 0.3936 0.3936 0.2127  1 Sn 2.64, 1 Li 2.90
7 Li 0.6064 0.6064 0.7873  1 Sn 2.64, 1 Li 2.90



Here is an optimized crystal structure of SrLiSnPt from Alexandria. Energies are from PBE.

a b c (Å): 4.6622 4.6653 5.8970
angles (deg): 113.15 90.00 119.98
With the nearest neighbours (Å) after each atom.
Positions (direct):
1 Sr 0.6224 0.2448 0.5087  1 Li 3.05, 1 Pt 3.10
2 Li 0.8155 0.6310 0.0892  3 Sn 2.79, 3 Pt 2.84, 1 Sr 3.05
3 Sn 0.1032 0.2064 0.9516  3 Pt 2.70, 3 Li 2.79
4 Pt 0.4252 0.8505 0.9179  3 Sn 2.70, 3 Li 2.84



Here is an optimized crystal structure of SrLi2SnPt from Alexandria. Energies are from PBE.

a b c (Å): 4.9606 4.9606 5.1177
angles (deg): 90.00 90.00 90.00
With the nearest neighbours (Å) after each atom.
Positions (direct):
1 Sr 0.5000 0.5000 0.5000  4 Sn 3.51, 8 Li 3.56
2 Sn 0.0000 0.0000 0.5000  2 Pt 2.56
3 Pt 0.0000 0.0000 0.0000  4 Li 2.48, 2 Sn 2.56
4 Li 0.0000 0.5000 0.0000  2 Pt 2.48
5 Li 0.5000 0.0000 0.0000  2 Pt 2.48



Here is an optimized crystal structure of SrLiSn2Pt4 from Alexandria. Energies are from PBE.

a b c (Å): 4.5134 4.5134 9.3573
angles (deg): 76.04 76.04 60.00
With the nearest neighbours (Å) after each atom.
Positions (direct):
1 Sr 0.0000 0.0000 0.0000  8 Pt 3.30-3.66, 6 Sn 3.66
2 Li 0.5000 0.5000 0.5000  8 Pt 2.48-2.73
3 Sn 0.7619 0.7619 0.7142  7 Pt 2.66-2.83
4 Sn 0.2381 0.2381 0.2858  7 Pt 2.66-2.83
5 Pt 0.4081 0.4081 0.7756  1 Li 2.48, 3 Sn 2.66
6 Pt 0.8641 0.8641 0.4076  3 Li 2.73, 4 Sn 2.76-2.83
7 Pt 0.1359 0.1359 0.5924  3 Li 2.73, 4 Sn 2.76-2.83
8 Pt 0.5919 0.5919 0.2244  1 Li 2.48, 3 Sn 2.66



Here is an optimized crystal structure of SrLiSn2Pt from Alexandria. Energies are from PBE.

a b c (Å): 4.6293 4.6293 6.5357
angles (deg): 110.74 110.74 90.00
With the nearest neighbours (Å) after each atom.
Positions (direct):
1 Sr 0.0000 0.0000 0.0000  8 Sn 3.58, 4 Li 3.65, 4 Pt 3.65
2 Li 0.7500 0.2500 0.5000  4 Sn 2.69
3 Sn 0.6289 0.6289 0.2577  2 Li 2.69, 2 Pt 2.69, 1 Sn 2.92
4 Sn 0.3711 0.3711 0.7423  2 Pt 2.69, 2 Li 2.69, 1 Sn 2.92
5 Pt 0.2500 0.7500 0.5000  4 Sn 2.69



Here is an optimized crystal structure of SrLiSnPt from Alexandria. Energies are from PBE.

a b c (Å): 4.9722 4.9722 4.9722
angles (deg): 60.00 60.00 60.00
With the nearest neighbours (Å) after each atom.
Positions (direct):
1 Sr 0.5000 0.5000 0.5000  4 Li 3.04, 4 Pt 3.04
2 Sn 0.0000 0.0000 0.0000  4 Li 3.04, 4 Pt 3.04
3 Pt 0.7500 0.7500 0.7500  4 Sn 3.04, 4 Sr 3.04
4 Li 0.2500 0.2500 0.2500  4 Sn 3.04, 4 Sr 3.04



| no. | formation energy from the elements (meV per atom) | density of states at the Fermi level (states/eV/atom) | total magnetization (μB/f.u.) |
| --- | --- | --- | --- |
| 1 | 8.4 | 0.4718 | 0.0 |
| 2 | -708.1 | 0.8812 | 0.0 |
| 3 | -446.3 | 0.5069 | 0.0 |
| 4 | -673.2 | 0.4637 | 0.0 |
| 5 | -624.6 | 0.4669 | 0.0 |
| 6 | -571.0 | 0.8591 | 0.0 |